# 1
The following is a DFT calculation (PBE) of crystalline Mn2HIrSe at its relaxed geometry.

a b c (Å): 3.548 3.230 13.545
angles (deg): 90.00 105.23 90.00
Each line ends with the local moment (μB).
Sites, in units of the cell vectors:
Mn 0.922 0.000 0.179  4.09
Mn 0.922 0.500 0.679  4.09
Mn 0.708 0.000 0.966  3.89
Mn 0.708 0.500 0.466  3.89
H 0.449 0.000 0.708  0.00
H 0.449 0.500 0.208  0.00
Ir 0.326 0.000 0.583  0.57
Ir 0.326 0.500 0.083  0.57
Se 0.126 0.000 0.383  0.01
Se 0.126 0.500 0.883  0.01

Computed properties:
E above lowest polymorph   0.013 eV/atom
Total moment   1.830 μB/atom
Space-group type   Cm, No. 8

# 2
The following is a DFT calculation (PBE) of crystalline Mn2HIrSe at its relaxed geometry.

a b c (Å): 3.041 3.096 7.273
angles (deg): 90.00 90.01 90.00
Each line ends with the local moment (μB).
Sites, in units of the cell vectors:
Mn 0.277 0.500 0.518  3.53
Mn 0.277 0.000 0.033  3.46
H 0.782 0.500 0.850  0.00
Ir 0.778 0.000 0.729  0.27
Se 0.776 0.500 0.229  -0.14

Computed properties:
E above lowest polymorph   0.099 eV/atom
Total moment   1.489 μB/atom
Space-group type   Pm, No. 6

# 3
The following is a DFT calculation (PBE) of crystalline Mn2HIrSe at its relaxed geometry.

a b c (Å): 3.746 3.027 6.459
angles (deg): 90.00 106.81 90.00
Each line ends with the local moment (μB).
Sites, in units of the cell vectors:
Mn 0.493 0.000 0.503  3.86
Mn 0.265 0.000 0.044  3.69
H 0.797 0.000 0.108  -0.01
Ir 0.880 0.500 0.275  0.51
Se 0.096 0.500 0.710  -0.04

Computed properties:
E above lowest polymorph   0.080 eV/atom
Total moment   1.688 μB/atom
Space-group type   Pm, No. 6

# 4
The following is a DFT calculation (PBE) of crystalline Mn2HIrSe at its relaxed geometry.

a b c (Å): 3.053 3.081 15.392
angles (deg): 90.00 112.31 90.00
Each line ends with the local moment (μB).
Sites, in units of the cell vectors:
Mn 0.560 0.000 0.241  3.57
Mn 0.560 0.500 0.741  3.57
Mn 0.062 0.000 0.992  3.42
Mn 0.062 0.500 0.492  3.42
H 0.709 0.000 0.067  -0.02
H 0.709 0.500 0.567  -0.02
Ir 0.854 0.000 0.634  0.41
Ir 0.854 0.500 0.134  0.41
Se 0.346 0.000 0.387  -0.13
Se 0.346 0.500 0.887  -0.13

Computed properties:
E above lowest polymorph   0.086 eV/atom
Total moment   1.511 μB/atom
Space-group type   Cm, No. 8

# 5
The following is a DFT calculation (PBE) of crystalline Mn2HIrSe at its relaxed geometry.

a b c (Å): 7.793 3.930 3.927
angles (deg): 90.00 104.56 90.00
Each line ends with the local moment (μB).
Sites, in units of the cell vectors:
Mn 0.466 0.000 0.091  -0.91
Mn 0.466 0.500 0.591  -0.91
Mn 0.948 0.000 0.332  2.26
Mn 0.948 0.500 0.832  2.26
H 0.969 0.000 0.842  -0.03
H 0.969 0.500 0.342  -0.03
Ir 0.702 0.000 0.708  -0.16
Ir 0.702 0.500 0.208  -0.16
Se 0.275 0.000 0.496  0.04
Se 0.275 0.500 0.996  0.04

Computed properties:
E above lowest polymorph   0.082 eV/atom
Total moment   0.252 μB/atom
Space-group type   I4mm, No. 107

# 6
The following is a DFT calculation (PBE) of crystalline Mn2HIrSe at its relaxed geometry.

a b c (Å): 3.757 2.897 12.926
angles (deg): 90.00 90.00 90.00
Each line ends with the local moment (μB).
Sites, in units of the cell vectors:
Mn 0.000 0.000 0.459  -3.43
Mn 0.500 0.500 0.959  -3.43
Mn 0.000 0.000 0.247  3.51
Mn 0.500 0.500 0.747  3.51
H 0.000 0.500 0.936  0.00
H 0.500 0.000 0.436  0.00
Ir 0.000 0.000 0.852  -0.12
Ir 0.500 0.500 0.352  -0.12
Se 0.000 0.500 0.616  0.02
Se 0.500 0.000 0.116  0.02

Computed properties:
E above lowest polymorph   0.000 eV/atom
Total moment   0.000 μB/atom
Space-group type   Imm2, No. 44

# 7
The following is a DFT calculation (PBE) of crystalline Mn2SiHIr at its relaxed geometry.

a b c (Å): 3.678 3.678 3.903
angles (deg): 90.00 90.00 90.00
Each line ends with the local moment (μB).
Sites, in units of the cell vectors:
H 0.000 0.000 0.000  -0.01
Si 0.500 0.500 0.500  -0.08
Ir 0.000 0.000 0.500  0.00
Mn 0.000 0.500 0.000  2.19
Mn 0.500 0.000 0.000  2.19

Computed properties:
Total moment   0.882 μB/atom
Space-group type   P4/mmm, No. 123
E   -7.410 eV/atom

# 8
The following is a DFT calculation (PBE) of crystalline MnSnHIr2 at its relaxed geometry.

a b c (Å): 4.092 4.092 3.903
angles (deg): 90.00 90.00 90.00
Each line ends with the local moment (μB).
Sites, in units of the cell vectors:
H 0.000 0.000 0.000  -0.01
Ir 0.000 0.500 0.000  0.21
Ir 0.500 0.000 0.000  0.21
Sn 0.500 0.500 0.500  -0.07
Mn 0.000 0.000 0.500  3.52

Computed properties:
Total moment   0.798 μB/atom
Space-group type   P4/mmm, No. 123
E   -6.904 eV/atom

# 9
The following is a DFT calculation (PBE) of crystalline Mn2SnHIr at its relaxed geometry.

a b c (Å): 3.986 3.986 3.948
angles (deg): 90.00 90.00 90.00
Each line ends with the local moment (μB).
Sites, in units of the cell vectors:
H 0.000 0.000 0.000  -0.02
Ir 0.000 0.000 0.500  0.14
Sn 0.500 0.500 0.500  -0.15
Mn 0.000 0.500 0.000  2.93
Mn 0.500 0.000 0.000  2.93

Computed properties:
Total moment   1.204 μB/atom
Space-group type   P4/mmm, No. 123
E   -6.968 eV/atom

# 10
The following is a DFT calculation (PBE) of crystalline Ta2MnHIr at its relaxed geometry.

a b c (Å): 4.143 4.143 3.798
angles (deg): 90.00 90.00 90.00
Each line ends with the local moment (μB).
Sites, in units of the cell vectors:
H 0.000 0.000 0.000  0.00
Ir 0.000 0.000 0.500  -0.05
Mn 0.500 0.500 0.500  1.92
Ta 0.000 0.500 0.000  -0.10
Ta 0.500 0.000 0.000  -0.10

Computed properties:
E above lowest polymorph   0.113 eV/atom
Total moment   0.337 μB/atom
Space-group type   P4/mmm, No. 123

# 11
The following is a DFT calculation (PBE) of crystalline TaMnHIr2 at its relaxed geometry.

a b c (Å): 3.925 3.925 3.913
angles (deg): 90.00 90.00 90.00
Each line ends with the local moment (μB).
Sites, in units of the cell vectors:
H 0.000 0.000 0.000  -0.01
Ir 0.000 0.500 0.000  -0.04
Ir 0.500 0.000 0.000  -0.04
Mn 0.000 0.000 0.500  1.77
Ta 0.500 0.500 0.500  -0.26

Computed properties:
E above lowest polymorph   0.000 eV/atom
Total moment   0.282 μB/atom
Space-group type   P4/mmm, No. 123

# 12
The following is a DFT calculation (PBE) of crystalline Ta2MnHIr at its relaxed geometry.

a b c (Å): 4.214 4.214 3.587
angles (deg): 90.00 90.00 90.00
Sites, in units of the cell vectors:
H 0.000 0.000 0.000
Ir 0.500 0.500 0.500
Mn 0.000 0.000 0.500
Ta 0.000 0.500 0.000
Ta 0.500 0.000 0.000

Computed properties:
E above lowest polymorph   0.000 eV/atom
Total moment   0.001 μB/atom
Space-group type   P4/mmm, No. 123